No. 1
Material: ErPuBr
Method: DFT, GGA-PBE
State: optimized geometry

Total energy, eV per atom: -7.4393
E_form (uncorrected), eV per atom: -0.583

Unit cell a=12.736 b=5.741 c=4.390 alpha=90.00 beta=90.00 gamma=90.00
Space group Pbcm (No. 57)
Inequivalent atoms, fractional coordinates:
Er 0.209 0.007 0.250 (multiplicity 4)
Pu 0.009 0.682 0.250 (multiplicity 4)
Br 0.354 0.000 0.750 (multiplicity 4)


No. 2
Material: Nd12Re3H5
Method: DFT, GGA-PBE
State: optimized geometry

Total energy, eV per atom: -5.6047

Unit cell a=15.683 b=15.683 c=15.683 alpha=90.00 beta=90.00 gamma=90.00
Space group Ia-3d (No. 230)
Inequivalent atoms, fractional coordinates:
Nd 0.032 0.063 0.655 (multiplicity 96)
Re 0.000 0.250 0.125 (multiplicity 24)
H 0.000 0.000 0.000 (multiplicity 16)
H 0.000 0.250 0.375 (multiplicity 24)


No. 3
Material: Y4Cd3Co
Method: DFT, GGA-PBE
State: optimized geometry

Total energy, eV per atom: -4.7510
ΔH_f (0 K), eV/atom: -0.29

Unit cell a=3.466 b=3.466 c=16.281 alpha=90.00 beta=90.00 gamma=90.00
Space group P4/mmm (No. 123)
Inequivalent atoms, fractional coordinates:
Y 0.000 0.000 0.100 (multiplicity 2)
Y 0.000 0.000 0.367 (multiplicity 2)
Cd 0.500 0.500 0.236 (multiplicity 2)
Cd 0.500 0.500 0.500 (multiplicity 1)
Co 0.500 0.500 0.000 (multiplicity 1)


No. 4
Material: CeErGa2Pt5
Method: DFT, GGA-PBE
State: optimized geometry

Total energy, eV per atom: -6.1013
ΔH_f (0 K), eV/atom: -0.91

Unit cell a=4.208 b=4.208 c=9.316 alpha=90.00 beta=90.00 gamma=90.00
Space group P4/mmm (No. 123)
Inequivalent atoms, fractional coordinates:
Ce 0.000 0.000 0.000 (multiplicity 1)
Er 0.000 0.000 0.500 (multiplicity 1)
Ga 0.500 0.500 0.371 (multiplicity 2)
Pt 0.000 0.500 0.225 (multiplicity 4)
Pt 0.500 0.500 0.000 (multiplicity 1)